An optimized crystal structure of Al2CdAg. Source: Alexandria via LeMat-Bulk, functional PBE.

Cell and atoms, written as POSCAR:
```
Al2CdAg
1.0
0.072 1.757 2.504
-2.279 -0.090 -2.040
-4.395 -7.273 5.230
Al Ag Cd
2 1 1
Cartesian
-4.337 -7.178 5.162
-2.255 -3.732 2.683
-4.400 -4.621 4.155
-2.202 -0.984 1.540
```

## Properties
Symmetry: No. 65

***

An optimized crystal structure of AlCdAg2. Source: Alexandria via LeMat-Bulk, functional PBE.

Cell and atoms, written as POSCAR:
```
AlCdAg2
1.0
-3.101 0.234 -0.113
-0.159 -3.227 -2.320
-0.436 -3.438 4.811
Al Ag Cd
1 2 1
Cartesian
-0.207 -1.633 2.286
-0.002 -0.013 0.018
-1.745 -2.407 0.057
-1.959 -4.097 2.423
```

## Properties
Symmetry: No. 25

***

An optimized crystal structure of AlCdAg. Source: Alexandria via LeMat-Bulk, functional PBE.

Cell and atoms, written as POSCAR:
```
AlCdAg
1.0
-2.380 1.707 -4.102
-4.157 -2.407 -1.528
2.072 2.336 3.957
Al Ag Cd
1 1 1
Cartesian
-2.206 -0.236 -1.901
-6.512 -0.697 -5.609
-4.354 -0.466 -3.751
```

## Properties
Symmetry: No. 44
Distance to the lowest polymorph of the same formula: 4.5 kJ/mol of atoms

***

An optimized crystal structure of AlCd3Ag. Source: Alexandria via LeMat-Bulk, functional PBE.

Cell and atoms, written as POSCAR:
```
AlCd3Ag
1.0
-5.170 -0.413 -0.076
0.204 -1.639 -4.917
0.367 -4.904 1.650
Al Ag Cd
1 1 3
Cartesian
0.000 0.000 0.000
-2.300 -3.478 -1.672
0.102 -0.819 -2.459
0.184 -2.452 0.825
-2.585 -0.207 -0.038
```

## Properties
Symmetry: No. 221
Distance to the lowest polymorph of the same formula: 1.5 kJ/mol of atoms

***

An optimized crystal structure of Al2Cd3Ag8. Source: Alexandria via LeMat-Bulk, functional PBE.

Cell and atoms, written as POSCAR:
```
Al2Cd3Ag8
1.0
-3.744 1.730 2.101
4.173 0.339 7.158
4.534 6.327 2.869
Al Cd Ag
2 3 8
Cartesian
4.879 6.030 8.830
0.083 2.367 3.298
-1.872 0.865 1.050
4.280 2.154 5.854
4.426 4.512 4.173
2.795 2.142 3.217
5.912 4.525 6.810
7.574 5.799 8.725
1.132 0.868 1.302
3.611 6.210 6.422
3.461 3.808 8.132
1.501 4.589 3.995
1.351 2.187 5.706
```

## Properties
Symmetry: No. 10
Distance to the lowest polymorph of the same formula: 0.0 kJ/mol of atoms

***

An optimized crystal structure of AlCd6Ag8. Source: Alexandria via LeMat-Bulk, functional PBE.

Cell and atoms, written as POSCAR:
```
AlCd6Ag8
1.0
-4.830 -1.268 -2.652
3.913 -0.494 -6.892
-0.819 -6.441 4.571
Al Cd Ag
1 6 8
Cartesian
-2.415 -0.634 -1.326
-0.861 -1.179 -6.065
0.116 -5.335 -5.859
-2.100 -3.501 -2.697
-0.874 -7.024 1.093
-1.852 -2.868 0.887
0.365 -4.701 -2.275
-4.209 -2.787 -0.964
-1.733 -6.116 -3.881
-3.756 -7.615 0.521
2.473 -5.415 -4.009
-0.002 -2.086 -1.092
2.021 -0.587 -5.493
-4.064 -5.724 -1.897
2.328 -2.478 -3.075
```

## Properties
Symmetry: No. 147
Distance to the lowest polymorph of the same formula: 0.6 kJ/mol of atoms

***

An optimized crystal structure of CeAlCd2Ag4. Source: Alexandria via LeMat-Bulk, functional PBE.

Cell and atoms, written as POSCAR:
```
CeAlCd2Ag4
1.0
4.715 0.000 0.000
2.358 4.084 0.000
2.358 1.361 8.764
Ce Al Cd Ag
1 1 2 4
Cartesian
0.000 0.000 0.000
4.715 2.722 4.382
7.073 4.084 6.559
2.358 1.361 2.205
4.715 2.722 7.081
7.073 4.084 3.540
2.358 1.361 5.225
4.715 2.722 1.683
```

## Properties
Symmetry: No. 166

***

An optimized crystal structure of Ce2Al4CdAg3. Source: Alexandria via LeMat-Bulk, functional PBE.

Cell and atoms, written as POSCAR:
```
Ce2Al4CdAg3
1.0
4.394 0.000 0.000
0.000 4.394 0.000
0.000 0.000 10.995
Ce Al Cd Ag
2 4 1 3
Cartesian
2.197 0.000 2.704
0.000 2.197 8.291
2.197 2.197 0.000
0.000 0.000 0.000
2.197 0.000 7.080
0.000 2.197 3.914
2.197 2.197 5.497
0.000 0.000 5.497
2.197 0.000 9.587
0.000 2.197 1.407
```

## Properties
Symmetry: No. 115

***

An optimized crystal structure of Dy4AlCd2Ag. Source: Alexandria via LeMat-Bulk, functional PBE.

Cell and atoms, written as POSCAR:
```
Dy4AlCd2Ag
1.0
5.205 0.000 0.000
2.602 4.508 0.000
2.602 1.503 8.522
Dy Al Cd Ag
4 1 2 1
Cartesian
5.205 3.005 7.468
7.807 4.508 3.183
2.602 1.503 5.339
5.205 3.005 1.054
0.000 0.000 0.000
7.807 4.508 6.418
2.602 1.503 2.104
5.205 3.005 4.261
```

## Properties
Symmetry: No. 166

***

An optimized crystal structure of Dy4AlCdAg2. Source: Alexandria via LeMat-Bulk, functional PBE.

Cell and atoms, written as POSCAR:
```
Dy4AlCdAg2
1.0
5.183 0.000 0.000
2.591 4.488 0.000
2.591 1.496 8.470
Dy Al Cd Ag
4 1 1 2
Cartesian
5.183 2.992 7.361
7.774 4.488 3.227
2.591 1.496 5.243
5.183 2.992 1.110
5.183 2.992 4.235
0.000 0.000 0.000
7.774 4.488 6.370
2.591 1.496 2.100
```

## Properties
Symmetry: No. 166

***

An optimized crystal structure of ErAlCdAg. Source: Alexandria via LeMat-Bulk, functional PBE.

Cell and atoms, written as POSCAR:
```
ErAlCdAg
1.0
4.876 0.000 0.000
2.438 4.223 0.000
2.438 1.408 3.981
Cd Al Ag Er
1 1 1 1
Cartesian
7.314 4.223 2.986
0.000 0.000 0.000
2.438 1.408 0.995
4.876 2.815 1.991
```

## Properties
Symmetry: No. 216

***

An optimized crystal structure of Er4AlCdAg2. Source: Alexandria via LeMat-Bulk, functional PBE.

Cell and atoms, written as POSCAR:
```
Er4AlCdAg2
1.0
5.139 0.000 0.000
2.569 4.450 0.000
2.569 1.483 8.392
Er Al Cd Ag
4 1 1 2
Cartesian
5.139 2.967 7.300
7.708 4.450 3.192
2.569 1.483 5.200
5.139 2.967 1.093
5.139 2.967 4.196
0.000 0.000 0.000
7.708 4.450 6.307
2.569 1.483 2.086
```

## Properties
Symmetry: No. 166

***

no.,calculated density (g/cm³),raw total energy (eV per atom)
1,5.98,-2.704
2,8.04,-2.588
3,7.30,-2.450
4,5.62,-1.398
5,8.21,-2.510
6,8.41,-2.103
7,8.10,-2.926
8,6.45,-3.896
9,8.39,-3.684
10,8.47,-3.919
11,8.40,-3.263
12,8.86,-3.908